## CsTmW2O8 (PBE+U)

Data for a relaxed structure of CsTmW2O8.

Volume: 260.9 Å³ per cell
Calculated total energy: -7.33 eV per atom
Total moment: 0.0 μB per cell

abc: 9.5607 9.5607 9.5607
angles: 35.32 35.32 35.32
Last column: nearest neighbours and their distance in Å.
Fractional positions:
Cs: 0.0000 0.0000 0.0000  6 O 3.45
Tm: 0.5000 0.5000 0.5000  6 O 2.22
W: 0.2359 0.2359 0.2359  4 O 1.78-1.83
W: 0.7641 0.7641 0.7641  4 O 1.78-1.83
O: 0.1110 0.5231 0.7219  1 W 1.83
O: 0.2781 0.8890 0.4769  1 W 1.83
O: 0.3023 0.3023 0.3023  1 W 1.78
O: 0.4769 0.2781 0.8890  1 W 1.83
O: 0.5231 0.7219 0.1110  1 W 1.83
O: 0.6977 0.6977 0.6977  1 W 1.78
O: 0.7219 0.1110 0.5231  1 W 1.83
O: 0.8890 0.4769 0.2781  1 W 1.83